No. 1
La2Mn3FeSi4, relaxed, DFT PBEsol; ΔE_f (raw) = -0.56 eV per atom; size of the total moment = 0.5767 μB per atom; crystal system = tetragonal
1.0
3.956 0.000 0.000
0.000 3.956 0.000
0.000 0.000 10.395
La Mn Fe Si
2 3 1 4
direct
0.000 0.500 0.247 La
0.500 0.000 0.753 La
0.000 0.000 0.000 Mn
0.000 0.000 0.500 Mn
0.500 0.500 0.500 Mn
0.500 0.500 0.000 Fe
0.000 0.500 0.623 Si
0.000 0.500 0.883 Si
0.500 0.000 0.117 Si
0.500 0.000 0.377 Si

No. 2
Hf2Be2Rh, relaxed, DFT PBEsol; energy relative to the elements = 0.38 eV per atom; energy relative to the lowest polymorph listed for this composition = 856 meV/atom; size of the total moment = 0.0000 μB per atom; crystal system = tetragonal
1.0
-1.886 1.886 5.245
1.886 -1.886 5.245
1.886 1.886 -5.245
Hf Be Rh
2 2 1
direct
0.250 0.750 0.500 Hf
0.750 0.250 0.500 Hf
0.089 0.089 0.000 Be
0.911 0.911 0.000 Be
0.500 0.500 0.000 Rh

No. 3
HPt3O, relaxed, DFT PBEsol; total DFT energy (no corrections) = -5.170 eV per atom; size of the total moment = 0.3503 μB per atom; crystal system = cubic
1.0
3.894 0.000 0.000
0.000 3.894 0.000
0.000 0.000 3.894
H Pt O
1 3 1
direct
0.000 0.000 0.000 H
0.000 0.000 0.500 Pt
0.000 0.500 0.000 Pt
0.500 0.000 0.000 Pt
0.500 0.500 0.500 O

No. 4
ThGe2, relaxed, DFT PBEsol; energy relative to the elements = -0.67 eV per atom; size of the total moment = 0.0000 μB per atom; crystal system = orthorhombic
1.0
2.004 -8.236 0.000
2.004 8.236 0.000
0.000 0.000 4.122
Th Ge
2 4
direct
0.139 0.861 0.000 Th
0.861 0.139 0.000 Th
0.000 0.000 0.500 Ge
0.299 0.701 0.500 Ge
0.500 0.500 0.000 Ge
0.701 0.299 0.500 Ge

No. 5
Ti2Be2Os, relaxed, DFT PBEsol; energy relative to the elements = -0.38 eV per atom; size of the total moment = 0.0000 μB per atom; crystal system = tetragonal
1.0
6.200 0.000 0.000
0.000 6.200 0.000
0.000 0.000 3.158
Ti Be Os
4 4 2
direct
0.180 0.320 0.000 Ti
0.320 0.820 0.000 Ti
0.680 0.180 0.000 Ti
0.820 0.680 0.000 Ti
0.119 0.619 0.500 Be
0.381 0.119 0.500 Be
0.619 0.881 0.500 Be
0.881 0.381 0.500 Be
0.000 0.000 0.500 Os
0.500 0.500 0.500 Os

No. 6
NbF5, relaxed, DFT PBEsol; ΔE_f (raw) = -2.98 eV per atom; size of the total moment = 0.0002 μB per atom; crystal system = monoclinic
1.0
4.855 -7.279 0.000
4.855 7.279 0.000
-0.584 0.000 5.109
Nb F
4 20
direct
0.202 0.798 0.000 Nb
0.259 0.259 0.750 Nb
0.741 0.741 0.250 Nb
0.798 0.202 0.000 Nb
0.027 0.218 0.880 F
0.076 0.712 0.676 F
0.130 0.130 0.448 F
0.167 0.593 0.125 F
0.218 0.027 0.880 F
0.272 0.464 0.652 F
0.288 0.924 0.324 F
0.335 0.335 0.105 F
0.407 0.833 0.875 F
0.464 0.272 0.652 F
0.536 0.728 0.348 F
0.593 0.167 0.125 F
0.665 0.665 0.895 F
0.712 0.076 0.676 F
0.728 0.536 0.348 F
0.782 0.973 0.120 F
0.833 0.407 0.875 F
0.870 0.870 0.552 F
0.924 0.288 0.324 F
0.973 0.782 0.120 F